(1)
DFT (GGA-PBEsol) results for an optimized crystal structure of CaTlZnRh2.

The structure belongs to space group P4/mmm (No. 123); the cell edges are 4.7015, 4.7015 and 5.4111 Å and the angles 90.00°, 90.00° and 90.00°. The asymmetric unit holds Ca at (0.0000, 0.0000, 0.0000), Tl at (0.0000, 0.0000, 0.5000), Zn at (0.5000, 0.5000, 0.5000) and Rh at (0.0000, 0.5000, 0.0000).

For the formation energy from the elements, the calculation gives 1321 meV/atom. The value obtained for the volume is 23.921 Å³/atom. As for the total energy: -3.2035 eV per atom.

(2)
DFT (GGA-PBEsol) results for an optimized crystal structure of CaRhW2.

The structure belongs to space group Cmmm (No. 65); the cell edges are 5.2092, 9.4410 and 2.7191 Å and the angles 90.00°, 90.00° and 90.00°. The asymmetric unit holds Ca at (0.0000, 0.0000, 0.0000), Rh at (0.0000, 0.5000, 0.0000) and W at (0.2500, 0.2500, 0.5000).

For the formation energy from the elements, the calculation gives 644 meV/atom. The value obtained for the volume is 16.715 Å³/atom. As for the total energy: -8.8274 eV per atom. As for the polymorph energy (0 for the lowest one): 0.164 eV per atom.

(3)
DFT (GGA-PBEsol) results for an optimized crystal structure of Ca2RhW.

The structure belongs to space group Cm (No. 8); the cell edges are 11.6639, 3.1760 and 5.1483 Å and the angles 90.00°, 116.12° and 90.00°. The asymmetric unit holds Ca at (0.0000, 0.0000, 0.0000), Ca at (0.2083, 0.0000, 0.7079), Rh at (0.2433, 0.5000, 0.2429) and W at (0.4235, 0.0000, 0.4235).

For the formation energy from the elements, the calculation gives 426 meV/atom. The value obtained for the volume is 21.406 Å³/atom. As for the total energy: -6.1275 eV per atom. As for the polymorph energy (0 for the lowest one): 0.194 eV per atom.